# Nd4AlGa

A relaxed structure of Nd4AlGa (PBE, the Alexandria database).

Lattice parameters (Å, degrees): 3.8951 5.7803 8.2685 90.00 90.00 90.00
Space group Pmmm (No. 47)
Asymmetric unit:
Nd1 0.0000 0.0000 0.2117
Nd2 0.5000 0.5000 0.2826
Al1 0.5000 0.0000 0.5000
Ga1 0.0000 0.5000 0.0000

Results
excess energy over the best structure of this formula in the dataset = 29 kJ/mol of formula units
N(E_F) = 6.7 states/eV per cell
energy of formation = -0.080 eV/atom
total moment = 0.0 μB/f.u.